The following is a DFT calculation (PBE) of a geometry-optimized HoUPb2S6 structure.

The formation energy from raw total energies comes out at -1.1555 eV per atom.

The structure belongs to space group R3 (No. 146, hexagonal axes); the cell edges are 7.1692, 7.1692 and 18.2887 Å and the angles 90.00°, 90.00° and 120.00°. The asymmetric unit holds Ho at (0.0000, 0.0000, 0.0000), U at (0.0000, 0.0000, 0.5025), Pb at (0.0000, 0.0000, 0.2056), Pb at (0.0000, 0.0000, 0.7081), S at (0.0050, 0.4024, 0.7598) and S at (0.0209, 0.6158, 0.2578).

=====

The following is a DFT calculation (PBE) of a geometry-optimized Al2VCoP structure.

The calculated total energy is -5.00 eV/atom.

The structure belongs to space group P4/mmm (No. 123); the cell edges are 4.7054, 4.7054 and 4.3691 Å and the angles 90.00°, 90.00° and 90.00°. The asymmetric unit holds Al at (0.0000, 0.5000, 0.0000), V at (0.0000, 0.0000, 0.0000), Co at (0.5000, 0.5000, 0.5000) and P at (0.0000, 0.0000, 0.5000).

=====

The following is a DFT calculation (PBE) of a geometry-optimized YErSi2 structure.

For the energy above the most stable polymorph in this dataset, the calculation gives 29.7 kJ/mol of atoms. The formation energy from raw total energies comes out at -0.5277 eV per atom.

The structure belongs to space group R-3m (No. 166, hexagonal axes); the cell edges are 4.5596, 4.5596 and 15.1905 Å and the angles 90.00°, 90.00° and 120.00°. The asymmetric unit holds Y at (0.0000, 0.0000, 0.0000), Er at (0.0000, 0.0000, 0.5000) and Si at (0.0000, 0.0000, 0.2476).

=====

The following is a DFT calculation (PBE) of a geometry-optimized Ge3PN structure.

For the energy above the most stable polymorph in this dataset, the calculation gives 0.0 kJ/mol of atoms. The formation energy from raw total energies comes out at 0.7406 eV per atom.

The structure belongs to space group Pm-3m (No. 221); the cell edges are 4.4116, 4.4116 and 4.4116 Å and the angles 90.00°, 90.00° and 90.00°. The asymmetric unit holds Ge at (0.0000, 0.0000, 0.5000), P at (0.5000, 0.5000, 0.5000) and N at (0.0000, 0.0000, 0.0000).

=====

Computed values of ρ (unit: g/cm³) for the preceding records, in sequence: 6.2 3.3 5.7 5.1.